# 1
This record from Alexandria via LeMat-Bulk describes crystalline MnRuCl2 at its relaxed geometry. The functional is GGA-PBEsol.

a = 3.0220 Å, b = 3.0220 Å, c = 23.4980 Å
α = 90.00°, β = 90.00°, γ = 120.00°
Space group R-3m (No. 166, hexagonal axes)
Inequivalent atoms, fractional coordinates:
Mn1 0.0000 0.0000 0.0000
Ru1 0.0000 0.0000 0.5000
Cl1 0.0000 0.0000 0.4038

Calculated values
Its total magnetization is 0.77 μB per atom. The calculation puts the formation energy from raw total energies at 0.16 eV per atom.

# 2
This record from Alexandria via LeMat-Bulk describes crystalline Li2CuRh at its relaxed geometry. The functional is GGA-PBEsol.

a = 3.552 Å, b = 3.552 Å, c = 7.841 Å
α = 90.00°, β = 90.00°, γ = 90.00°
Space group I4/mmm (No. 139)
Inequivalent atoms, fractional coordinates:
Li1 0.000 0.500 0.250
Cu1 0.000 0.000 0.000
Rh1 0.000 0.000 0.500

Calculated values
Its total magnetization is 0.00 μB per atom. Its energy above the most stable polymorph in this dataset is 37.0 meV per atom. Its calculated formation energy is -0.04 eV/atom.